Record 1
{
  "formula": "YTc2B",
  "functional": "GGA-PBE",
  "state": "relaxed",
  "volume_a3_per_cell": 155,
  "total_energy_ev_per_atom": -7.9944,
  "sg": "No. 122",
  "ef_mev_per_atom": 474,
  "cell": [[4.500, 0.000, 0.000], [0.000, 4.500, 0.000], [2.250, 2.250, 7.669]],
  "species": ["Y", "Y", "B", "B", "Tc", "Tc", "Tc", "Tc"],
  "frac_coords": [[0.000, 0.000, 0.000], [0.750, 0.250, 0.500], [0.500, 0.500, 0.000], [0.250, 0.750, 0.500], [0.321, 0.125, 0.250], [0.429, 0.625, 0.250], [0.375, 0.679, 0.750], [0.875, 0.571, 0.750]]
}

---

Record 2
{
  "formula": "LiScBi",
  "functional": "GGA-PBE",
  "state": "relaxed",
  "volume_a3_per_cell": 67,
  "total_energy_ev_per_atom": -4.4472,
  "sg": "No. 187",
  "relative_energy_ev_per_atom": 0.142,
  "ef_mev_per_atom": -405,
  "cell": [[-1.993, 0.711, 3.285], [-3.796, -0.956, -2.096], [2.264, -3.211, 2.068]],
  "species": ["Sc", "Bi", "Li"],
  "frac_coords": [[0.333, 0.333, 0.667], [0.833, 0.667, 0.333], [0.833, 0.000, 0.000]]
}

---

Record 3
{
  "formula": "Y2ZnBiC",
  "functional": "GGA-PBE",
  "state": "relaxed",
  "volume_a3_per_cell": 106,
  "total_energy_ev_per_atom": -5.8601,
  "sg": "No. 123",
  "ef_mev_per_atom": -399,
  "cell": [[5.073, 0.000, 0.000], [0.000, 5.073, 0.000], [0.000, 0.000, 4.117]],
  "species": ["Y", "Y", "C", "Zn", "Bi"],
  "frac_coords": [[0.000, 0.500, 0.000], [0.500, 0.000, 0.000], [0.000, 0.000, 0.000], [0.000, 0.000, 0.500], [0.500, 0.500, 0.500]]
}

---

Record 4
{
  "formula": "BaDy4HoSe8",
  "functional": "GGA-PBE",
  "state": "relaxed",
  "raw_formation_energy_ev_per_atom": -1.771,
  "volume_a3_per_cell": 450,
  "total_energy_ev_per_atom": -5.5415,
  "sg": "No. 160",
  "cell": [[8.606, 0.000, 0.000], [4.303, 7.453, 0.000], [4.303, 2.484, 7.015]],
  "species": ["Ba", "Dy", "Dy", "Dy", "Dy", "Ho", "Se", "Se", "Se", "Se", "Se", "Se", "Se", "Se"],
  "frac_coords": [[0.375, 0.375, 0.874], [0.625, 0.625, 0.125], [0.002, 0.495, 0.502], [0.495, 0.002, 0.502], [0.002, 0.002, 0.502], [0.002, 0.002, 0.995], [0.232, 0.802, 0.734], [0.802, 0.232, 0.734], [0.232, 0.232, 0.734], [0.233, 0.233, 0.302], [0.758, 0.228, 0.256], [0.228, 0.758, 0.256], [0.758, 0.758, 0.256], [0.757, 0.757, 0.729]]
}